A plane-wave DFT calculation with PBE was carried out for a relaxed LaAgPb2S4 crystal.

Lattice parameters (Å, degrees): 4.0838 7.1830 14.4886 90.00 90.00 106.52
With the nearest neighbours (Å) after each atom.
Atoms (fractional coordinates):
Ag (0.8524, 0.7049, 0.7500)  4 S 2.58-2.61
Ag (0.1476, 0.2951, 0.2500)  4 S 2.58-2.61
Pb (0.3695, 0.7389, 0.5553)  4 S 2.84-3.13
Pb (0.3695, 0.7389, 0.9447)  4 S 2.84-3.13
Pb (0.6305, 0.2611, 0.4447)  4 S 2.84-3.13
Pb (0.6305, 0.2611, 0.0553)  4 S 2.84-3.13
S (0.0000, 0.0000, 0.5000)  4 Pb 2.84
S (0.2889, 0.5778, 0.1300)  1 Ag 2.61, 1 Pb 2.90
S (0.7111, 0.4222, 0.6300)  1 Ag 2.61, 1 Pb 2.90
S (0.5328, 0.0656, 0.2500)  2 Ag 2.58
S (0.4672, 0.9344, 0.7500)  2 Ag 2.58
S (0.2889, 0.5778, 0.3700)  1 Ag 2.61, 1 Pb 2.90
S (0.7111, 0.4222, 0.8700)  1 Ag 2.61, 1 Pb 2.90
S (0.0000, 0.0000, 0.0000)  4 Pb 2.84
La (0.1181, 0.2361, 0.7500)  6 S 2.91-2.97
La (0.8819, 0.7639, 0.2500)  6 S 2.91-2.97

Computed properties:
Uncorrected formation energy   -0.9179 eV/atom
Space-group type   Cmcm
DOS(E_F)   0.000 states/eV/atom